PBE Cu2RePb, optimized geometry; calculated volume = 65.8 Å³/f.u.; excess energy over the best structure of this formula in the dataset = 345 meV/atom; energy of formation from the pure elements = 0.9143 eV per atom; energy = -20.69 eV/cell
1.0
0.0000 3.2036 3.2036
3.2036 0.0000 3.2036
3.2036 3.2036 0.0000
Cu Pb Re
2 1 1
Direct
0.2500 0.2500 0.2500 Cu
0.7500 0.7500 0.7500 Cu
0.5000 0.5000 0.5000 Pb
0.0000 0.0000 0.0000 Re